Record 1
The following is a GGA-PBE calculation of a geometry-optimized AgPd3Se structure, from OQMD via LeMat-Bulk.

Values from the calculation:
The symmetry is No. 205.

Cell: 8.7093 8.7093 8.7093 Å, 90.00 90.00 90.00°
Fractional coordinates of all 40 atoms:
Ag: 0.9059 0.4059 0.0941
Ag: 0.5941 0.9059 0.0941
Ag: 0.4059 0.4059 0.4059
Ag: 0.0941 0.9059 0.4059
Ag: 0.9059 0.0941 0.5941
Ag: 0.5941 0.5941 0.5941
Ag: 0.4059 0.0941 0.9059
Ag: 0.0941 0.5941 0.9059
Pd: 0.2777 0.3621 0.0863
Pd: 0.2223 0.8621 0.0863
Pd: 0.5863 0.2777 0.1379
Pd: 0.9137 0.7777 0.1379
Pd: 0.8621 0.0863 0.2223
Pd: 0.6379 0.5863 0.2223
Pd: 0.3621 0.0863 0.2777
Pd: 0.1379 0.5863 0.2777
Pd: 0.0863 0.2777 0.3621
Pd: 0.4137 0.7777 0.3621
Pd: 0.7777 0.3621 0.4137
Pd: 0.7223 0.8621 0.4137
Pd: 0.2777 0.1379 0.5863
Pd: 0.2223 0.6379 0.5863
Pd: 0.5863 0.2223 0.6379
Pd: 0.9137 0.7223 0.6379
Pd: 0.8621 0.4137 0.7223
Pd: 0.6379 0.9137 0.7223
Pd: 0.3621 0.4137 0.7777
Pd: 0.1379 0.9137 0.7777
Pd: 0.0863 0.2223 0.8621
Pd: 0.4137 0.7223 0.8621
Pd: 0.7777 0.1379 0.9137
Pd: 0.7223 0.6379 0.9137
Se: 0.1224 0.1224 0.1224
Se: 0.3776 0.6224 0.1224
Se: 0.6224 0.1224 0.3776
Se: 0.8776 0.6224 0.3776
Se: 0.1224 0.3776 0.6224
Se: 0.3776 0.8776 0.6224
Se: 0.6224 0.3776 0.8776
Se: 0.8776 0.8776 0.8776

Record 2
The following is a GGA-PBE calculation of a geometry-optimized TlAgTe2PdSe structure, from OQMD via LeMat-Bulk.

Values from the calculation:
The symmetry is No. 63.

Cell: 7.1055 7.1055 10.9645 Å, 90.00 90.00 146.83°
Fractional coordinates of all 12 atoms:
Ag: 0.9172 0.0828 0.2500
Ag: 0.0828 0.9172 0.7500
Pd: 0.5000 0.5000 0.0000
Pd: 0.5000 0.5000 0.5000
Se: 0.5483 0.4517 0.2500
Se: 0.4517 0.5483 0.7500
Te: 0.8698 0.1302 0.0057
Te: 0.8698 0.1302 0.4943
Te: 0.1302 0.8698 0.5057
Te: 0.1302 0.8698 0.9943
Tl: 0.2463 0.7537 0.2500
Tl: 0.7537 0.2463 0.7500

Record 3
The following is a GGA-PBE calculation of a geometry-optimized TlAgPdSe3 structure, from OQMD via LeMat-Bulk.

Values from the calculation:
The symmetry is No. 62. The distance to the lowest polymorph of the same formula is 4.6 kJ/mol of formula units.

Cell: 11.1927 4.0086 12.3216 Å, 90.00 90.00 90.00°
Fractional coordinates of all 24 atoms:
Ag: 0.2974 0.0000 0.2349
Ag: 0.7974 0.0000 0.2651
Ag: 0.2026 0.5000 0.7349
Ag: 0.7026 0.5000 0.7651
Pd: 0.6022 0.5000 0.1896
Pd: 0.1022 0.5000 0.3104
Pd: 0.8978 0.0000 0.6896
Pd: 0.3978 0.0000 0.8104
Se: 0.5949 0.0000 0.0672
Se: 0.2649 0.5000 0.0837
Se: 0.0279 0.0000 0.1992
Se: 0.5279 0.0000 0.3008
Se: 0.7649 0.5000 0.4163
Se: 0.0949 0.0000 0.4328
Se: 0.9051 0.5000 0.5672
Se: 0.2351 0.0000 0.5837
Se: 0.4721 0.5000 0.6992
Se: 0.9721 0.5000 0.8008
Se: 0.7351 0.0000 0.9163
Se: 0.4051 0.5000 0.9328
Tl: 0.8633 0.5000 0.0597
Tl: 0.3633 0.5000 0.4403
Tl: 0.6367 0.0000 0.5597
Tl: 0.1367 0.0000 0.9403

Record 4
The following is a GGA-PBE calculation of a geometry-optimized TlAg3PdSe4 structure, from OQMD via LeMat-Bulk.

Values from the calculation:
The symmetry is No. 215.

Cell: 6.2159 6.2159 6.2159 Å, 90.00 90.00 90.00°
Fractional coordinates of all 9 atoms:
Ag: 0.5000 0.0000 0.0000
Ag: 0.0000 0.5000 0.0000
Ag: 0.0000 0.0000 0.5000
Pd: 0.0000 0.0000 0.0000
Se: 0.7622 0.2378 0.2378
Se: 0.2378 0.7622 0.2378
Se: 0.2378 0.2378 0.7622
Se: 0.7622 0.7622 0.7622
Tl: 0.5000 0.5000 0.5000

Record 5
The following is a GGA-PBE calculation of a geometry-optimized TlAgPdSe3 structure, from OQMD via LeMat-Bulk.

Values from the calculation:
The symmetry is No. 63. The distance to the lowest polymorph of the same formula is 0.0 kJ/mol of formula units.

Cell: 7.1226 7.1226 10.7395 Å, 90.00 90.00 30.82°
Fractional coordinates of all 12 atoms:
Ag: 0.6179 0.6179 0.2500
Ag: 0.3821 0.3821 0.7500
Pd: 0.0000 0.0000 0.0000
Pd: 0.0000 0.0000 0.5000
Se: 0.6213 0.6213 0.0112
Se: 0.9661 0.9661 0.2500
Se: 0.6213 0.6213 0.4887
Se: 0.3787 0.3787 0.5113
Se: 0.0339 0.0339 0.7500
Se: 0.3787 0.3787 0.9888
Tl: 0.2884 0.2884 0.2500
Tl: 0.7116 0.7116 0.7500

Record 6
The following is a GGA-PBE calculation of a geometry-optimized SiAgPd2 structure, from OQMD via LeMat-Bulk.

Values from the calculation:
The symmetry is No. 216.

Cell: 4.4064 4.4064 4.4064 Å, 60.00 60.00 60.00°
Fractional coordinates of all 4 atoms:
Ag: 0.2500 0.2500 0.2500
Pd: 0.0000 0.0000 0.0000
Pd: 0.7500 0.7500 0.7500
Si: 0.5000 0.5000 0.5000

Record 7
The following is a GGA-PBE calculation of a geometry-optimized Si5AgPd3 structure, from OQMD via LeMat-Bulk.

Values from the calculation:
The symmetry is No. 191.

Cell: 5.3821 5.3821 6.1280 Å, 90.00 90.00 120.00°
Fractional coordinates of all 9 atoms:
Ag: 0.0000 0.0000 0.0000
Pd: 0.5000 0.0000 0.5000
Pd: 0.0000 0.5000 0.5000
Pd: 0.5000 0.5000 0.5000
Si: 0.6667 0.3333 0.1860
Si: 0.3333 0.6667 0.1860
Si: 0.0000 0.0000 0.5000
Si: 0.6667 0.3333 0.8140
Si: 0.3333 0.6667 0.8140

Record 8
The following is a GGA-PBE calculation of a geometry-optimized SmSi2AgPd structure, from OQMD via LeMat-Bulk.

Values from the calculation:
The symmetry is No. 119. The magnetization comes out at 0.00 μB per atom.

Cell: 5.9690 5.9690 5.9690 Å, 139.10 139.10 59.22°
Fractional coordinates of all 5 atoms:
Ag: 0.0000 0.0000 0.0000
Pd: 0.5000 0.5000 0.0000
Si: 0.6380 0.1380 0.5000
Si: 0.8620 0.3620 0.5000
Sm: 0.2500 0.7500 0.5000

Record 9
The following is a GGA-PBE calculation of a geometry-optimized TbSi2AgPd structure, from OQMD via LeMat-Bulk.

Values from the calculation:
The symmetry is No. 119. The magnetization comes out at 0.00 μB per atom.

Cell: 5.9387 5.9387 5.9387 Å, 139.21 139.21 59.06°
Fractional coordinates of all 5 atoms:
Ag: 0.0000 0.0000 0.0000
Pd: 0.5000 0.5000 0.0000
Si: 0.6391 0.1391 0.5000
Si: 0.8609 0.3609 0.5000
Tb: 0.2500 0.7500 0.5000

Record 10
The following is a GGA-PBE calculation of a geometry-optimized YSi2AgPd structure, from OQMD via LeMat-Bulk.

Values from the calculation:
The symmetry is No. 119. The magnetization comes out at 0.00 μB per atom.

Cell: 5.9432 5.9432 5.9432 Å, 139.36 139.36 58.82°
Fractional coordinates of all 5 atoms:
Ag: 0.5000 0.5000 0.0000
Pd: 0.0000 0.0000 0.0000
Si: 0.6395 0.1395 0.5000
Si: 0.8605 0.3605 0.5000
Y: 0.2500 0.7500 0.5000

Record 11
The following is a GGA-PBE calculation of a geometry-optimized AgSnPd2 structure, from OQMD via LeMat-Bulk.

Values from the calculation:
The symmetry is No. 216.

Cell: 4.5815 4.5815 4.5815 Å, 60.00 60.00 60.00°
Fractional coordinates of all 4 atoms:
Ag: 0.2500 0.2500 0.2500
Pd: 0.0000 0.0000 0.0000
Pd: 0.7500 0.7500 0.7500
Sn: 0.5000 0.5000 0.5000

Record 12
The following is a GGA-PBE calculation of a geometry-optimized Ag2SnPd structure, from OQMD via LeMat-Bulk.

Values from the calculation:
The symmetry is No. 216.

Cell: 4.6511 4.6511 4.6511 Å, 60.00 60.00 60.00°
Fractional coordinates of all 4 atoms:
Ag: 0.0000 0.0000 0.0000
Ag: 0.7500 0.7500 0.7500
Pd: 0.2500 0.2500 0.2500
Sn: 0.5000 0.5000 0.5000

no.,calculated volume (Å³/cell),raw total energy (eV for the cell shown)
1,660.6,-181.50
2,302.9,-42.05
3,552.8,-87.33
4,240.2,-30.69
5,279.1,-43.76
6,60.5,-19.03
7,153.7,-44.71
8,90.3,-26.98
9,88.5,-26.83
10,88.2,-28.66
11,68.0,-18.24
12,71.1,-15.52